[1]
A plane-wave DFT calculation with PBE-GGA was carried out for a relaxed Y3Fe2Ni7 crystal.

```
Y3Fe2Ni7
1.0
2.508 1.448 8.094
-2.508 1.448 8.094
0.000 -2.895 8.094
Y Ni Fe
3 7 2
Direct
0.139 0.139 0.139
0.861 0.861 0.861
0.000 0.000 0.000
0.419 0.918 0.419
0.419 0.419 0.918
0.918 0.419 0.419
0.500 0.500 0.500
0.581 0.581 0.082
0.082 0.581 0.581
0.581 0.082 0.581
0.667 0.667 0.667
0.333 0.333 0.333
```

Values from the calculation:
Magnetization: 6.05 μB per cell
Density: 7.434 g/cm³
Energy of formation from the pure elements: -0.333 eV per atom
Space-group type: R-3m

=====

[2]
A plane-wave DFT calculation with PBE-GGA was carried out for a relaxed Y3FeNi8 crystal.

```
Y3FeNi8
1.0
2.503 1.445 8.038
-2.503 1.445 8.038
0.000 -2.890 8.038
Ni Y Fe
8 3 1
Direct
0.667 0.667 0.667
0.584 0.082 0.584
0.333 0.333 0.333
0.082 0.584 0.584
0.416 0.918 0.416
0.918 0.416 0.416
0.584 0.584 0.082
0.416 0.416 0.918
0.139 0.139 0.139
0.000 0.000 0.000
0.861 0.861 0.861
0.500 0.500 0.500
```

Values from the calculation:
Magnetization: 3.12 μB per cell
Density: 7.542 g/cm³
Energy of formation from the pure elements: -0.335 eV per atom
Space-group type: R-3m

=====

[3]
A plane-wave DFT calculation with PBE-GGA was carried out for a relaxed YFe2Ni crystal.

```
YFe2Ni
1.0
0.000 3.095 3.095
3.095 0.000 3.095
3.095 3.095 0.000
Ni Y Fe
1 1 2
Direct
0.500 0.500 0.500
0.250 0.250 0.250
0.000 0.000 0.000
0.750 0.750 0.750
```

Values from the calculation:
Magnetization: 4.76 μB per cell
Density: 7.263 g/cm³
Energy of formation from the pure elements: 0.137 eV per atom
Space-group type: F-43m

=====

[4]
A plane-wave DFT calculation with PBE-GGA was carried out for a relaxed YFeNi2 crystal.

```
YFeNi2
1.0
2.527 1.459 8.021
-2.527 1.459 8.021
0.000 -2.918 8.021
Y Fe Ni
3 3 6
Direct
0.000 0.000 0.000
0.861 0.861 0.861
0.139 0.139 0.139
0.667 0.667 0.667
0.333 0.333 0.333
0.500 0.500 0.500
0.082 0.582 0.582
0.582 0.582 0.082
0.418 0.918 0.418
0.418 0.418 0.918
0.582 0.082 0.582
0.918 0.418 0.418
```

Values from the calculation:
Magnetization: 8.70 μB per cell
Density: 7.360 g/cm³
Energy of formation from the pure elements: -0.274 eV per atom
Space-group type: R-3m

=====

[5]
A plane-wave DFT calculation with PBE-GGA was carried out for a relaxed YFeNi2 crystal.

```
YFeNi2
1.0
0.000 3.100 3.100
3.100 0.000 3.100
3.100 3.100 0.000
Y Ni Fe
1 2 1
Direct
0.500 0.500 0.500
0.000 0.000 0.000
0.750 0.750 0.750
0.250 0.250 0.250
```

Values from the calculation:
Magnetization: 2.96 μB per cell
Density: 7.308 g/cm³
Energy of formation from the pure elements: 0.079 eV per atom
Space-group type: F-43m

=====

[6]
A plane-wave DFT calculation with PBE-GGA was carried out for a relaxed YFe2Ni crystal.

```
YFe2Ni
1.0
2.500 1.443 8.291
-2.500 1.443 8.291
0.000 -2.886 8.291
Fe Ni Y
6 3 3
Direct
0.418 0.919 0.418
0.418 0.418 0.919
0.582 0.081 0.582
0.919 0.418 0.418
0.081 0.582 0.582
0.582 0.582 0.081
0.333 0.333 0.333
0.500 0.500 0.500
0.667 0.667 0.667
0.000 0.000 0.000
0.858 0.858 0.858
0.142 0.142 0.142
```

Values from the calculation:
Magnetization: 13.38 μB per cell
Density: 7.199 g/cm³
Energy of formation from the pure elements: -0.142 eV per atom
Space-group type: R-3m

=====

[7]
A plane-wave DFT calculation with PBE-GGA was carried out for a relaxed YZnFeNi crystal.

```
YZnFeNi
1.0
0.000 3.206 3.206
3.206 0.000 3.206
3.206 3.206 0.000
Y Fe Ni Zn
1 1 1 1
Direct
0.250 0.250 0.250
0.750 0.750 0.750
0.500 0.500 0.500
0.000 0.000 0.000
```

Values from the calculation:
Magnetization: 2.91 μB per cell
Density: 6.776 g/cm³
Energy of formation from the pure elements: 0.039 eV per atom
Space-group type: F-43m

=====

[8]
A plane-wave DFT calculation with PBE-GGA was carried out for a relaxed YZnFeNi crystal.

```
YZnFeNi
1.0
0.000 3.157 3.157
3.157 0.000 3.157
3.157 3.157 0.000
Zn Y Ni Fe
1 1 1 1
Direct
0.000 0.000 0.000
0.500 0.500 0.500
0.250 0.250 0.250
0.750 0.750 0.750
```

Values from the calculation:
Magnetization: 2.09 μB per cell
Density: 7.096 g/cm³
Energy of formation from the pure elements: 0.032 eV per atom
Space-group type: F-43m

=====

[9]
A plane-wave DFT calculation with PBE-GGA was carried out for a relaxed ZnFe2Ni crystal.

```
ZnFe2Ni
1.0
-3.961 -0.275 0.833
-2.204 3.367 0.507
-2.739 1.071 -2.794
Fe Zn Ni
2 1 1
Direct
0.750 0.750 0.750
0.000 0.000 0.000
0.500 0.500 0.500
0.250 0.250 0.250
```

Values from the calculation:
Magnetization: 4.92 μB per cell
Density: 8.295 g/cm³
Energy of formation from the pure elements: -0.021 eV per atom
Space-group type: F-43m

=====

[10]
A plane-wave DFT calculation with PBE-GGA was carried out for a relaxed ZrZnFeNi crystal.

```
ZrZnFeNi
1.0
3.799 2.172 -0.201
0.532 3.698 2.286
2.672 0.064 3.470
Ni Zn Zr Fe
1 1 1 1
Direct
0.500 0.500 0.500
0.000 0.000 0.000
0.250 0.250 0.250
0.750 0.750 0.750
```

Values from the calculation:
Magnetization: 3.15 μB per cell
Density: 7.577 g/cm³
Energy of formation from the pure elements: -0.044 eV per atom
Space-group type: F-43m

=====

[11]
A plane-wave DFT calculation with PBE-GGA was carried out for a relaxed ZrZnFeNi crystal.

```
ZrZnFeNi
1.0
2.426 -0.229 3.533
-1.255 1.978 3.597
-1.326 -2.308 3.367
Fe Ni Zn Zr
1 1 1 1
Direct
0.750 0.750 0.750
0.250 0.250 0.250
0.000 0.000 0.000
0.500 0.500 0.500
```

Values from the calculation:
Magnetization: 0.00 μB per cell
Density: 8.054 g/cm³
Energy of formation from the pure elements: -0.184 eV per atom
Space-group type: F-43m

=====

[12]
A plane-wave DFT calculation with PBE-GGA was carried out for a relaxed NpFe crystal.

```
NpFe
1.0
2.802 0.000 0.000
-1.401 2.427 0.000
0.000 0.000 4.550
Fe Np
1 1
Direct
0.667 0.333 0.750
0.333 0.667 0.250
```

Values from the calculation:
Magnetization: 2.83 μB per cell
Density: 15.717 g/cm³
Energy of formation from the pure elements: 0.493 eV per atom
Space-group type: P-6m2

=====

[13]
A plane-wave DFT calculation with PBE-GGA was carried out for a relaxed NpFe crystal.

```
NpFe
1.0
0.000 2.725 2.725
2.725 0.000 2.725
2.725 2.725 0.000
Np Fe
1 1
Direct
0.250 0.250 0.250
0.000 0.000 0.000
```

Values from the calculation:
Magnetization: 3.04 μB per cell
Density: 12.014 g/cm³
Energy of formation from the pure elements: 0.965 eV per atom
Space-group type: F-43m

=====

[14]
A plane-wave DFT calculation with PBE-GGA was carried out for a relaxed Np6Fe crystal.

```
Np6Fe
1.0
-3.465 0.381 6.509
5.332 3.639 -3.585
-5.652 2.186 -4.220
Np Fe
12 2
Direct
0.905 0.773 0.677
0.095 0.227 0.323
0.227 0.905 0.132
0.273 0.405 0.677
0.406 0.094 0.500
0.595 0.273 0.868
0.906 0.406 0.312
0.773 0.095 0.868
0.594 0.906 0.500
0.094 0.594 0.688
0.727 0.595 0.323
0.405 0.727 0.132
0.250 0.250 0.000
0.750 0.750 0.000
```

Values from the calculation:
Magnetization: 1.78 μB per cell
Density: 19.470 g/cm³
Energy of formation from the pure elements: 0.069 eV per atom
Space-group type: I4/mcm

=====

[15]
A plane-wave DFT calculation with PBE-GGA was carried out for a relaxed NpFe crystal.

```
NpFe
1.0
2.116 -3.666 0.000
2.116 3.666 0.000
0.000 0.000 5.286
Np Fe
2 2
Direct
0.333 0.667 0.938
0.000 0.000 0.438
0.333 0.667 0.437
0.000 0.000 0.937
```

Values from the calculation:
Magnetization: 6.31 μB per cell
Density: 11.856 g/cm³
Energy of formation from the pure elements: 1.039 eV per atom
Space-group type: P6_3/mmc

=====

[16]
A plane-wave DFT calculation with PBE-GGA was carried out for a relaxed Np3Fe crystal.

```
Np3Fe
1.0
-0.940 3.675 -1.422
-3.025 -1.609 -2.160
-2.524 0.561 3.118
Np Fe
3 1
Direct
0.000 0.500 0.500
0.500 0.500 0.000
0.500 0.000 0.500
0.000 0.000 0.000
```

Values from the calculation:
Magnetization: 1.06 μB per cell
Density: 19.162 g/cm³
Energy of formation from the pure elements: 0.565 eV per atom
Space-group type: Pm-3m

=====

[17]
A plane-wave DFT calculation with PBE-GGA was carried out for a relaxed Np3Fe crystal.

```
Np3Fe
1.0
-2.054 2.054 4.319
2.054 -2.054 4.319
2.054 2.054 -4.319
Np Fe
3 1
Direct
0.750 0.250 0.500
0.500 0.500 0.000
0.250 0.750 0.500
0.000 0.000 0.000
```

Values from the calculation:
Magnetization: 8.82 μB per cell
Density: 17.478 g/cm³
Energy of formation from the pure elements: 0.404 eV per atom
Space-group type: I4/mmm

=====

[18]
A plane-wave DFT calculation with PBE-GGA was carried out for a relaxed NpFe crystal.

```
NpFe
1.0
0.000 2.559 2.559
2.559 0.000 2.559
2.559 2.559 0.000
Np Fe
1 1
Direct
0.500 0.500 0.500
0.000 0.000 0.000
```

Values from the calculation:
Magnetization: 2.47 μB per cell
Density: 14.503 g/cm³
Energy of formation from the pure elements: 0.425 eV per atom
Space-group type: Fm-3m

=====

[19]
A plane-wave DFT calculation with PBE-GGA was carried out for a relaxed Np3Fe crystal.

```
Np3Fe
1.0
-4.096 -1.359 -1.248
-3.422 0.222 2.903
-3.276 3.012 -0.615
Np Fe
3 1
Direct
0.000 0.000 0.000
0.500 0.500 0.500
0.250 0.250 0.250
0.750 0.750 0.750
```

Values from the calculation:
Magnetization: 1.73 μB per cell
Density: 19.859 g/cm³
Energy of formation from the pure elements: 0.025 eV per atom
Space-group type: Fm-3m

=====

[20]
A plane-wave DFT calculation with PBE-GGA was carried out for a relaxed NpFeOs crystal.

```
NpFeOs
1.0
-1.912 0.777 3.626
-0.392 3.927 1.352
-3.749 1.831 0.031
Np Fe Os
1 1 1
Direct
0.750 0.750 0.750
0.000 0.000 0.000
0.250 0.250 0.250
```

Values from the calculation:
Magnetization: 0.17 μB per cell
Density: 15.622 g/cm³
Energy of formation from the pure elements: 0.473 eV per atom
Space-group type: F-43m

=====

Uncorrected energy for every record listed, in sequence, given in eV/atom: -6.5820 -6.3560 -7.0253 -6.7518 -6.3985 -7.3049 -5.3622 -5.3696 -5.8832 -5.9658 -6.1057 -10.0460 -9.5746 -12.0635 -9.4999 -11.0896 -11.2510 -10.1140 -11.6298 -10.2950.